In2Bi2Sb after structural relaxation. Source: the Alexandria database, functional PBE-GGA.

Properties
- formation energy (no corrections) (eV/f.u.) = 0.8
- symmetry = I4/mmm (139)
- total magnetic moment (μB/cell) = 0.0
- Fermi-level density of states (states/eV per cell) = 3.1

Structure (POSCAR):
```
In2Bi2Sb
1.0
-2.103 2.103 8.738
2.103 -2.103 8.738
2.103 2.103 -8.738
In Bi Sb
2 2 1
direct
0.250 0.750 0.500
0.750 0.250 0.500
0.093 0.093 0.000
0.907 0.907 0.000
0.500 0.500 0.000
```